1.
{
  "formula": "CdFe2As",
  "functional": "GGA-PBE",
  "state": "relaxed",
  "cell": [[8.9525, -0.0321, -0.0188], [8.4801, 2.8699, -0.0188], [8.4801, 1.3805, 2.5162]],
  "species": ["Cd", "Fe", "Fe", "As"],
  "fractional_positions": [[0.7411, 0.7411, 0.7411], [0.2531, 0.2531, 0.2531], [0.9859, 0.9859, 0.9859], [0.5199, 0.5199, 0.5199]],
  "sg": "R3m (160)",
  "magnetic_moment_mub_per_fu": 4.8,
  "formation_energy_mev_per_atom": 207,
  "dos_at_fermi_per_ev_fu": 2.9
}

***

2.
{
  "formula": "CdFe2As",
  "functional": "GGA-PBE",
  "state": "relaxed",
  "cell": [[4.9847, -0.0056, 0.0000], [2.0492, 4.5440, 0.0000], [-3.5170, -2.2692, 2.7072]],
  "species": ["Cd", "Fe", "Fe", "As"],
  "fractional_positions": [[0.7500, 0.2500, 0.5000], [0.2500, 0.7500, 0.5000], [0.0000, 0.0000, 0.0000], [0.5000, 0.5000, 0.0000]],
  "sg": "I-4m2 (119)",
  "magnetic_moment_mub_per_fu": 5.3,
  "formation_energy_mev_per_atom": 345,
  "dos_at_fermi_per_ev_fu": 4.2
}

***

3.
{
  "formula": "CdFe2As",
  "functional": "GGA-PBE",
  "state": "relaxed",
  "cell": [[6.9767, 0.0000, 0.0000], [0.0000, 6.9767, 0.0000], [3.4884, 3.4884, 2.7303]],
  "species": ["As", "As", "Fe", "Fe", "Fe", "Fe", "Cd", "Cd"],
  "fractional_positions": [[0.2500, 0.7500, 0.5000], [0.5000, 0.5000, 0.0000], [0.1648, 0.6250, 0.2500], [0.5852, 0.1250, 0.2500], [0.3750, 0.4148, 0.7500], [0.8750, 0.8352, 0.7500], [0.7500, 0.2500, 0.5000], [0.0000, 0.0000, 0.0000]],
  "sg": "I-42d (122)",
  "magnetic_moment_mub_per_fu": 4.8,
  "formation_energy_mev_per_atom": 457,
  "dos_at_fermi_per_ev_fu": 2.1
}

***

4.
{
  "formula": "CdFe2As",
  "functional": "GGA-PBE",
  "state": "relaxed",
  "cell": [[-4.3767, -5.8263, -4.0461], [-1.8632, -7.2447, -3.6764], [-3.8505, -7.2278, -1.5510]],
  "species": ["Fe", "Fe", "As", "Cd"],
  "fractional_positions": [[0.5097, 0.5097, 0.5097], [0.9903, 0.9903, 0.9903], [0.2500, 0.2500, 0.2500], [0.7500, 0.7500, 0.7500]],
  "sg": "R-3m (166)",
  "magnetic_moment_mub_per_fu": 4.0,
  "formation_energy_mev_per_atom": 274,
  "dos_at_fermi_per_ev_fu": 3.2
}

***

5.
{
  "formula": "CdFeAs2",
  "functional": "GGA-PBE",
  "state": "relaxed",
  "cell": [[-0.7631, -0.8356, -5.6494], [4.7772, -3.2164, -0.1696], [-1.0030, -6.5535, -1.8332]],
  "species": ["As", "As", "As", "As", "Cd", "Cd", "Fe", "Fe"],
  "fractional_positions": [[0.1992, 0.6250, 0.2500], [0.8750, 0.8008, 0.7500], [0.5508, 0.1250, 0.2500], [0.3750, 0.4492, 0.7500], [0.0000, 0.0000, 0.0000], [0.7500, 0.2500, 0.5000], [0.5000, 0.5000, 0.0000], [0.2500, 0.7500, 0.5000]],
  "sg": "I-42d (122)",
  "magnetic_moment_mub_per_fu": 0.0,
  "formation_energy_mev_per_atom": 166,
  "dos_at_fermi_per_ev_fu": 3.0
}

***

6.
{
  "formula": "CdFe2As",
  "functional": "GGA-PBE",
  "state": "relaxed",
  "cell": [[5.3514, 0.0143, 0.0118], [2.6338, 4.6584, -0.0118], [-3.4880, -3.1987, 2.4980]],
  "species": ["Fe", "Fe", "Cd", "As"],
  "fractional_positions": [[0.7480, 0.2480, 0.5000], [0.9666, 0.9666, 0.0000], [0.2515, 0.7515, 0.5000], [0.5339, 0.5339, 0.0000]],
  "sg": "Imm2 (44)",
  "magnetic_moment_mub_per_fu": 4.9,
  "formation_energy_mev_per_atom": 278,
  "dos_at_fermi_per_ev_fu": 3.1
}